Computed, not measured: a relaxed structure of Ac2PmHo at the PBE-GGA level of DFT.

Cell and atoms, written as CIF:
```
data_Ac2PmHo
_cell_length_a 3.824
_cell_length_b 8.390
_cell_length_c 6.618
_cell_angle_alpha 131.21
_cell_angle_beta 90.00
_cell_angle_gamma 103.17
_space_group_name_H-M_alt 'P 1'
_space_group_IT_number 1
_space_group_name_Hall 'P 1'
loop_
_atom_site_label
_atom_site_type_symbol
_atom_site_fract_x
_atom_site_fract_y
_atom_site_fract_z
Ho1 Ho 0.500 0.000 0.000
Ac1 Ac 0.752 0.504 0.752
Pm1 Pm 0.000 0.000 0.500
Ac2 Ac 0.248 0.496 0.248
```

Results
The value obtained for the total DFT energy (no corrections) is -4.348 eV per atom. The total magnetic moment comes out at 0.00 Bohr magnetons per cell. The calculation puts the energy relative to the elements at 0.16 eV per formula unit. The relative energy among the computed polymorphs comes out at 0.0 meV/atom.

Computed, not measured: a relaxed structure of Y6HgPd2 at the PBE-GGA level of DFT.

Cell and atoms, written as CIF:
```
data_Y6HgPd2
_cell_length_a 8.566
_cell_length_b 8.566
_cell_length_c 8.566
_cell_angle_alpha 105.62
_cell_angle_beta 110.13
_cell_angle_gamma 112.74
_space_group_name_H-M_alt 'P 1'
_space_group_IT_number 1
_space_group_name_Hall 'P 1'
loop_
_atom_site_label
_atom_site_type_symbol
_atom_site_fract_x
_atom_site_fract_y
_atom_site_fract_z
Pd1 Pd 0.500 0.633 0.133
Y1 Y 0.106 0.287 0.819
Y2 Y 0.299 0.970 0.671
Hg1 Hg 0.000 0.000 0.000
Y3 Y 0.805 0.761 0.566
Y4 Y 0.701 0.372 0.671
Hg2 Hg 0.000 0.500 0.500
Y5 Y 0.805 0.239 0.044
Pd2 Pd 0.346 0.000 0.346
Y6 Y 0.701 0.030 0.329
Y7 Y 0.894 0.713 0.181
Y8 Y 0.195 0.761 0.956
Y9 Y 0.299 0.628 0.329
Pd3 Pd 0.654 0.000 0.654
Y10 Y 0.532 0.713 0.819
Y11 Y 0.468 0.287 0.181
Pd4 Pd 0.500 0.367 0.867
Y12 Y 0.195 0.239 0.434
```

Results
The value obtained for the total DFT energy (no corrections) is -6.033 eV per atom. The total magnetic moment comes out at 0.00 Bohr magnetons per cell. The calculation puts the energy relative to the elements at -4.82 eV per formula unit.

Computed, not measured: a relaxed structure of SbPPb at the PBE-GGA level of DFT.

Cell and atoms, written as CIF:
```
data_SbPPb
_cell_length_a 4.664
_cell_length_b 5.869
_cell_length_c 6.597
_cell_angle_alpha 74.55
_cell_angle_beta 78.39
_cell_angle_gamma 75.27
_space_group_name_H-M_alt 'P 1'
_space_group_IT_number 1
_space_group_name_Hall 'P 1'
loop_
_atom_site_label
_atom_site_type_symbol
_atom_site_fract_x
_atom_site_fract_y
_atom_site_fract_z
P1 P 0.208 0.871 0.958
P2 P 0.792 0.129 0.042
Pb1 Pb 0.972 0.619 0.720
Sb1 Sb 0.454 0.805 0.298
Sb2 Sb 0.546 0.195 0.702
Pb2 Pb 0.028 0.381 0.280
```

Results
The uncorrected formation energy comes out at 0.123 eV per atom. The value obtained for the total DFT energy (no corrections) is -4.291 eV per atom. The total magnetic moment comes out at 0.00 Bohr magnetons per cell. The relative energy among the computed polymorphs comes out at 46.6 meV/atom.